Ba2SrMg9 | Alexandria via LeMat-Bulk | PBE | optimized geometry; mass density = 2.6 g cm⁻³; calculated total energy = -20.57 eV for the cell shown; size of the total moment = 0.00 μB/cell; V = 31.2 Å³/atom; formation energy = -0.057 eV/atom
1.0
6.432 0.000 0.000
3.216 5.571 0.000
3.216 1.857 10.448
Ba Sr Mg
2 1 9
direct
0.857 0.857 0.429
0.143 0.143 0.571
0.000 0.000 0.000
0.666 0.666 0.002
0.334 0.334 0.998
0.500 0.500 0.500
0.420 0.420 0.240
0.920 0.420 0.240
0.420 0.920 0.240
0.580 0.580 0.760
0.580 0.080 0.760
0.080 0.580 0.760